Compound: TbCeHoEr3
Source: Alexandria via LeMat-Bulk
Functional: PBE
Structure: optimized geometry

The structure in CIF format:
```
data_TbCeHoEr3
_chemical_formula_sum 'Tb4 Ce4 Ho4 Er12'
_space_group_name_H-M_alt 'C m c m'
_space_group_IT_number 63
_space_group_name_Hall '-C 2c 2'
_cell_length_a 4.990
_cell_length_b 14.928
_cell_length_c 9.951
_cell_angle_alpha 90.00
_cell_angle_beta 90.00
_cell_angle_gamma 90.00
loop_
_atom_site_label
_atom_site_fract_x
_atom_site_fract_y
_atom_site_fract_z
Tb1 0.000 0.000 0.000
Ce1 0.000 0.500 0.250
Ho1 0.000 0.167 0.250
Er1 0.000 0.167 0.750
Er2 0.000 0.335 0.000
```

Results
V = 741 Å³/cell
spin magnetization = 0.172 μB per atom
uncorrected energy = -4.751 eV/atom
N(E_F) = 42.4 states/eV/cell